# 1
Density functional theory data (PBE) for a geometry-optimized Pm2ScCo structure.

Structure (POSCAR):
```
Pm2ScCo
1.0
1.768 1.020 10.196
-1.768 1.020 10.196
0.000 -2.041 10.196
Pm Sc Co
2 1 1
Direct
0.109 0.109 0.109 Pm
0.891 0.891 0.891 Pm
0.000 0.000 0.000 Sc
0.500 0.500 0.500 Co
```

Summary:
The energy relative to the lowest polymorph listed for this composition is 0.234 eV/atom.

# 2
Density functional theory data (PBE) for a geometry-optimized Li4Cd7In structure.

Structure (POSCAR):
```
Li4Cd7In
1.0
5.426 -2.696 0.000
5.426 2.696 0.000
-5.325 0.000 9.533
Li Cd In
4 7 1
Direct
0.085 0.085 0.317 Li
0.335 0.335 0.225 Li
0.665 0.665 0.775 Li
0.915 0.915 0.683 Li
0.000 0.000 0.000 Cd
0.172 0.172 0.629 Cd
0.201 0.201 0.906 Cd
0.380 0.380 0.526 Cd
0.620 0.620 0.474 Cd
0.799 0.799 0.094 Cd
0.828 0.828 0.371 Cd
0.500 0.500 0.000 In
```

Summary:
The value obtained for the final energy is -1.445 eV per atom.

# 3
Density functional theory data (PBE) for a geometry-optimized Mg4TaPt5 structure.

Structure (POSCAR):
```
Mg4TaPt5
1.0
2.952 0.000 0.000
0.000 2.952 0.000
0.000 0.000 18.369
Mg Ta Pt
4 1 5
Direct
0.000 0.000 0.098 Mg
0.000 0.000 0.293 Mg
0.000 0.000 0.707 Mg
0.000 0.000 0.902 Mg
0.000 0.000 0.500 Ta
0.500 0.500 0.000 Pt
0.500 0.500 0.196 Pt
0.500 0.500 0.397 Pt
0.500 0.500 0.603 Pt
0.500 0.500 0.804 Pt
```

Summary:
The value obtained for the final energy is -5.666 eV per atom.

# 4
Density functional theory data (PBE) for a geometry-optimized SrHI2O structure.

Structure (POSCAR):
```
SrHI2O
1.0
6.614 0.000 0.000
0.000 6.614 0.000
0.000 0.000 4.831
Sr H I O
1 1 2 1
Direct
0.000 0.000 0.000 Sr
0.500 0.500 0.500 H
0.000 0.500 0.000 I
0.500 0.000 0.000 I
0.000 0.000 0.500 O
```

Summary:
The energy relative to the lowest polymorph listed for this composition is 0.046 eV/atom.

# 5
Density functional theory data (PBE) for a geometry-optimized AcMnCl6 structure.

Structure (POSCAR):
```
AcMnCl6
1.0
6.337 0.000 0.000
-2.799 5.916 0.000
-3.081 -1.504 6.097
Ac Mn Cl
1 1 6
Direct
0.000 0.000 0.000 Ac
0.000 0.500 0.500 Mn
0.155 0.444 0.272 Cl
0.173 0.286 0.718 Cl
0.455 0.881 0.736 Cl
0.545 0.119 0.264 Cl
0.827 0.714 0.282 Cl
0.845 0.556 0.728 Cl
```

Summary:
The uncorrected formation energy is -1.6041 eV/atom.

# 6
Density functional theory data (PBE) for a geometry-optimized Y4CuHg3 structure.

Structure (POSCAR):
```
Y4CuHg3
1.0
3.645 0.000 0.000
0.000 3.645 0.000
0.000 0.000 14.945
Y Cu Hg
4 1 3
Direct
0.000 0.000 0.112 Y
0.000 0.000 0.371 Y
0.000 0.000 0.629 Y
0.000 0.000 0.888 Y
0.500 0.500 0.000 Cu
0.500 0.500 0.243 Hg
0.500 0.500 0.500 Hg
0.500 0.500 0.757 Hg
```

Summary:
The value obtained for the final energy is -4.291 eV per atom.

# 7
Density functional theory data (PBE) for a geometry-optimized TlPd2 structure.

Structure (POSCAR):
```
TlPd2
1.0
-1.743 1.743 4.411
1.743 -1.743 4.411
1.743 1.743 -4.411
Tl Pd
1 2
Direct
0.000 0.000 0.000 Tl
0.334 0.334 0.000 Pd
0.666 0.666 0.000 Pd
```

Summary:
The value obtained for the final energy is -4.381 eV per atom.

# 8
Density functional theory data (PBE) for a geometry-optimized HAuN2 structure.

Structure (POSCAR):
```
HAuN2
1.0
-2.251 2.251 3.820
2.251 -2.251 3.820
2.251 2.251 -3.820
H Au N
2 2 4
Direct
0.000 0.000 0.000 H
0.750 0.250 0.500 H
0.250 0.750 0.500 Au
0.500 0.500 0.000 Au
0.044 0.625 0.919 N
0.375 0.294 0.419 N
0.706 0.125 0.081 N
0.875 0.956 0.581 N
```

Summary:
The energy relative to the lowest polymorph listed for this composition is 0.846 eV/atom.

# 9
Density functional theory data (PBE) for a geometry-optimized SrLi2Al2 structure.

Structure (POSCAR):
```
SrLi2Al2
1.0
-2.470 2.470 4.825
2.470 -2.470 4.825
2.470 2.470 -4.825
Sr Li Al
1 2 2
Direct
0.000 0.000 0.000 Sr
0.250 0.750 0.500 Li
0.750 0.250 0.500 Li
0.369 0.369 0.000 Al
0.631 0.631 0.000 Al
```

Summary:
The energy relative to the lowest polymorph listed for this composition is 0.000 eV/atom.

# 10
Density functional theory data (PBE) for a geometry-optimized Tl3CuSb2Se6 structure.

Structure (POSCAR):
```
Tl3CuSb2Se6
1.0
3.585 -6.137 0.000
3.585 6.137 0.000
-2.504 0.000 7.269
Tl Cu Sb Se
3 1 2 6
Direct
0.000 0.000 0.000 Tl
0.324 0.676 0.000 Tl
0.676 0.324 0.000 Tl
0.500 0.500 0.500 Cu
0.164 0.836 0.500 Sb
0.836 0.164 0.500 Sb
0.125 0.431 0.298 Se
0.251 0.251 0.721 Se
0.431 0.125 0.298 Se
0.569 0.875 0.702 Se
0.749 0.749 0.279 Se
0.875 0.569 0.702 Se
```

Summary:
The uncorrected formation energy is -0.2514 eV/atom.

# 11
Density functional theory data (PBE) for a geometry-optimized Th2AgTe structure.

Structure (POSCAR):
```
Th2AgTe
1.0
1.824 1.053 10.959
-1.824 1.053 10.959
0.000 -2.106 10.959
Th Ag Te
2 1 1
Direct
0.093 0.093 0.093 Th
0.907 0.907 0.907 Th
0.000 0.000 0.000 Ag
0.500 0.500 0.500 Te
```

Summary:
The energy relative to the lowest polymorph listed for this composition is 0.531 eV/atom. The uncorrected formation energy is 0.0531 eV/atom.

# 12
Density functional theory data (PBE) for a geometry-optimized TbMg2Zn2Hg2 structure.

Structure (POSCAR):
```
TbMg2Zn2Hg2
1.0
2.333 1.347 8.086
-2.333 1.347 8.086
0.000 -2.694 8.086
Tb Mg Zn Hg
1 2 2 2
Direct
0.000 0.000 0.000 Tb
0.133 0.133 0.133 Mg
0.867 0.867 0.867 Mg
0.256 0.256 0.256 Zn
0.744 0.744 0.744 Zn
0.403 0.403 0.403 Hg
0.597 0.597 0.597 Hg
```

Summary:
The value obtained for the final energy is -1.790 eV per atom.